A plane-wave DFT calculation with GGA+U was carried out for a relaxed Rb2MnTcF6 crystal.

**Uncorrected energy**: -5.331 eV per atom

Cell lengths 6.081, 6.081, 6.081 Å; angles 60.00, 60.00, 90.00 degrees
Positions (direct):
Mn 0.500 0.500 0.000
Tc 0.000 0.000 0.000
Rb 0.750 0.250 0.500
Rb 0.250 0.750 0.500
F 0.252 0.252 0.497
F 0.748 0.748 0.503
F 0.252 0.252 0.000
F 0.748 0.748 0.000
F 0.748 0.252 0.000
F 0.252 0.748 0.000